Entry 1:
## YZr2CdC (PBE)

Data for YZr2CdC after structural relaxation.

abc: 4.617 4.617 4.862
angles: 90.00 90.00 90.00
Sites, in units of the cell vectors:
Y  0.000  0.000  0.000
Zr  0.000  0.500  0.500
Zr  0.500  0.000  0.500
Cd  0.500  0.500  0.000
C  0.000  0.000  0.500

Computed properties:
The total moment comes out at 0.00 Bohr magnetons per cell.



Entry 2:
## Zn3CdC (PBE)

Data for Zn3CdC after structural relaxation.

abc: 4.290 4.290 4.290
angles: 90.00 90.00 90.00
Sites, in units of the cell vectors:
Zn  0.000  0.000  0.500
Zn  0.000  0.500  0.000
Zn  0.500  0.000  0.000
Cd  0.500  0.500  0.500
C  0.000  0.000  0.000

Computed properties:
The calculation puts the offset from the most stable computed form at 0.000 eV/atom. The total moment comes out at 0.00 Bohr magnetons per cell.



Entry 3:
## ZnCdC3 (PBE)

Data for ZnCdC3 after structural relaxation.

abc: 4.050 4.050 4.050
angles: 90.00 90.00 90.00
Sites, in units of the cell vectors:
Zn  0.000  0.000  0.000
Cd  0.500  0.500  0.500
C  0.000  0.000  0.500
C  0.000  0.500  0.000
C  0.500  0.000  0.000

Computed properties:
The calculation puts the offset from the most stable computed form at 0.000 eV/atom. The total moment comes out at 0.00 Bohr magnetons per cell.



Entry 4:
## ZnCdC3 (PBE)

Data for ZnCdC3 after structural relaxation.

abc: 4.319 4.319 4.319
angles: 90.00 90.00 90.00
Sites, in units of the cell vectors:
Zn  0.000  0.000  0.000
Cd  0.500  0.500  0.500
C  0.000  0.500  0.500
C  0.500  0.000  0.500
C  0.500  0.500  0.000

Computed properties:
The calculation puts the offset from the most stable computed form at 0.603 eV/atom. The total moment comes out at 0.00 Bohr magnetons per cell.



Entry 5:
## Zn3CdC (PBE)

Data for Zn3CdC after structural relaxation.

abc: 5.120 5.120 5.120
angles: 90.00 90.00 90.00
Sites, in units of the cell vectors:
Zn  0.000  0.000  0.500
Zn  0.000  0.500  0.000
Zn  0.500  0.000  0.000
Cd  0.000  0.000  0.000
C  0.500  0.500  0.500

Computed properties:
The calculation puts the offset from the most stable computed form at 1.115 eV/atom. The total moment comes out at 2.40 Bohr magnetons per cell.



Entry 6:
## ZnCd2C (PBE)

Data for ZnCd2C after structural relaxation.

abc: 4.540 4.540 4.540
angles: 60.00 60.00 60.00
Sites, in units of the cell vectors:
Zn  0.000  0.000  0.000
Cd  0.250  0.250  0.250
Cd  0.750  0.750  0.750
C  0.500  0.500  0.500

Computed properties:
The calculation puts the offset from the most stable computed form at 0.282 eV/atom. The total moment comes out at 0.00 Bohr magnetons per cell.



Entry 7:
## ZnCd2C (PBE)

Data for ZnCd2C after structural relaxation.

abc: 6.943 6.943 6.943
angles: 120.18 120.18 89.70
Sites, in units of the cell vectors:
Zn  0.375  0.625  0.750
Zn  0.625  0.375  0.250
Cd  0.000  0.000  0.000
Cd  0.000  0.000  0.500
Cd  0.000  0.500  0.000
Cd  0.500  0.000  0.500
C  0.125  0.875  0.250
C  0.875  0.125  0.750

Computed properties:
The calculation puts the offset from the most stable computed form at 0.000 eV/atom. The total moment comes out at 0.00 Bohr magnetons per cell.



Entry 8:
## Zr2CdC (PBE)

Data for Zr2CdC after structural relaxation.

abc: 4.639 4.639 4.639
angles: 60.00 60.00 60.00
Sites, in units of the cell vectors:
Zr  0.250  0.250  0.250
Zr  0.750  0.750  0.750
Cd  0.000  0.000  0.000
C  0.500  0.500  0.500

Computed properties:
The total moment comes out at 0.00 Bohr magnetons per cell.



Entry 9:
## Zr2CdC (PBE)

Data for Zr2CdC after structural relaxation.

abc: 3.347 3.347 7.874
angles: 102.34 102.34 60.02
Sites, in units of the cell vectors:
Zr  0.222  0.222  0.164
Zr  0.778  0.778  0.836
Cd  0.000  0.000  0.500
C  0.500  0.500  0.000

Computed properties:
The total moment comes out at 0.00 Bohr magnetons per cell.



Entry 10:
## ZrCdC3 (PBE)

Data for ZrCdC3 after structural relaxation.

abc: 4.152 4.152 4.152
angles: 90.00 90.00 90.00
Sites, in units of the cell vectors:
Zr  0.000  0.000  0.000
Cd  0.500  0.500  0.500
C  0.000  0.500  0.500
C  0.500  0.000  0.500
C  0.500  0.500  0.000

Computed properties:
The calculation puts the offset from the most stable computed form at 0.530 eV/atom. The total moment comes out at 0.00 Bohr magnetons per cell.



In eV/atom, the calculated total energy values for the records above are, in order, -7.107, -2.176, -3.244, -2.641, -1.061, -1.895, -2.177, -6.010, -7.366, -4.844.
In kJ/mol of formula units, the energy of formation values for the records above are, in order, -177, 297, 1316, 1607, 835, 458, 349, 308, -215, 1246.